Material: SrCu2Br
Method: DFT, PBE
State: relaxed

a b c (Å): 6.385 6.385 6.385
angles (deg): 141.99 142.41 54.53
Fractional coordinates of all 4 atoms:
Cu 0.500 0.500 0.000
Cu 0.000 0.000 0.000
Sr 0.750 0.250 0.500
Br 0.250 0.750 0.500

## Properties
As for the total magnetization: 0.00 μB/cell. As for the energy: -3.0702 eV per atom. The value obtained for the distance to the lowest polymorph of the same formula is 0.287 eV/atom.